Below is a geometry-optimized Cs3K2Bi4 structure, with properties calculated at the PBE-GGA level.

Lattice parameters (Å, degrees): 6.537 7.312 12.005 78.03 80.26 65.24
Atoms (fractional coordinates):
1 Cs 0.000 0.000 0.000
2 Cs 0.372 0.817 0.376
3 Cs 0.628 0.183 0.624
4 K 0.120 0.423 0.212
5 K 0.880 0.577 0.788
6 Bi 0.310 0.778 0.710
7 Bi 0.403 0.438 0.914
8 Bi 0.597 0.562 0.086
9 Bi 0.690 0.222 0.290

Summary:
total magnetic moment: 0.0000 μB per atom
density of states at the Fermi level: 3.5 states/eV per cell
density: 4.295 g cm⁻³
energy of formation: -286 kJ/mol of formula units